# 1
The following is a DFT calculation (PBE) of crystalline HgRu2Pt at its relaxed geometry.

a = 5.711 Å, b = 5.711 Å, c = 5.711 Å
α = 151.60°, β = 131.38°, γ = 57.27°
Fractional positions:
Hg: 0.000 0.000 0.000
Ru: 0.273 0.773 0.500
Ru: 0.727 0.227 0.500
Pt: 0.500 0.500 0.000

Computed properties:
The total energy comes out at -5.734 eV/atom. As for the space group: Immm (71). The value obtained for the energy of formation from the pure elements is 489 meV per atom. Its size of the total moment is 0.00 μB/cell.


# 2
The following is a DFT calculation (PBE) of crystalline ZrZnTe2 at its relaxed geometry.

a = 9.214 Å, b = 9.214 Å, c = 9.214 Å
α = 24.03°, β = 24.03°, γ = 24.03°
Fractional positions:
Zr: 0.000 0.000 0.000
Zn: 0.500 0.500 0.500
Te: 0.104 0.104 0.104
Te: 0.896 0.896 0.896

Computed properties:
The total energy comes out at -3.873 eV/atom. As for the space group: R-3m (166). Its size of the total moment is 0.00 μB/cell. The value obtained for the formation energy (no corrections) is 14.79 kJ/mol of atoms.


# 3
The following is a DFT calculation (PBE) of crystalline MgSc5Zn6 at its relaxed geometry.

a = 8.178 Å, b = 8.178 Å, c = 4.702 Å
α = 106.67°, β = 106.67°, γ = 120.05°
Fractional positions:
Mg: 0.000 0.000 0.000
Sc: 0.164 0.836 0.500
Sc: 0.331 0.669 0.000
Sc: 0.500 0.500 0.500
Sc: 0.669 0.331 0.000
Sc: 0.836 0.164 0.500
Zn: 0.083 0.414 0.249
Zn: 0.249 0.249 0.749
Zn: 0.414 0.083 0.249
Zn: 0.586 0.917 0.751
Zn: 0.751 0.751 0.251
Zn: 0.917 0.586 0.751

Computed properties:
The total energy comes out at -3.752 eV/atom. As for the space group: C2/m (12). The value obtained for the energy of formation from the pure elements is -344 meV per atom. Its size of the total moment is 0.00 μB/cell.


# 4
The following is a DFT calculation (PBE) of crystalline ErMg7 at its relaxed geometry.

a = 9.729 Å, b = 9.729 Å, c = 9.729 Å
α = 152.81°, β = 152.81°, γ = 38.83°
Fractional positions:
Er: 0.000 0.000 0.000
Mg: 0.128 0.628 0.500
Mg: 0.246 0.246 0.000
Mg: 0.372 0.872 0.500
Mg: 0.500 0.500 0.000
Mg: 0.628 0.128 0.500
Mg: 0.754 0.754 0.000
Mg: 0.872 0.372 0.500

Computed properties:
The total energy comes out at -1.998 eV/atom. As for the space group: I4/mmm (139). The value obtained for the energy of formation from the pure elements is -32 meV per atom. Its size of the total moment is 0.00 μB/cell.


# 5
The following is a DFT calculation (PBE) of crystalline PtC5 at its relaxed geometry.

a = 3.449 Å, b = 3.449 Å, c = 7.905 Å
α = 90.00°, β = 90.00°, γ = 120.00°
Fractional positions:
Pt: 0.000 0.000 0.000
C: 0.000 0.500 0.500
C: 0.333 0.667 0.000
C: 0.500 0.000 0.500
C: 0.500 0.500 0.500
C: 0.667 0.333 0.000

Computed properties:
The total energy comes out at -5.919 eV/atom. As for the space group: P6/mmm (191). The value obtained for the energy of formation from the pure elements is 2775 meV per atom. Its size of the total moment is 0.72 μB/cell. The value obtained for the distance to the lowest polymorph of the same formula is 12.407 eV/f.u.


# 6
The following is a DFT calculation (PBE) of crystalline Cd5SbPd6 at its relaxed geometry.

a = 7.974 Å, b = 7.974 Å, c = 4.581 Å
α = 106.59°, β = 106.59°, γ = 118.32°
Fractional positions:
Cd: 0.000 0.000 0.000
Cd: 0.163 0.837 0.500
Cd: 0.320 0.680 0.000
Cd: 0.680 0.320 0.000
Cd: 0.837 0.163 0.500
Sb: 0.500 0.500 0.500
Pd: 0.101 0.422 0.261
Pd: 0.270 0.270 0.771
Pd: 0.422 0.101 0.261
Pd: 0.578 0.899 0.739
Pd: 0.730 0.730 0.229
Pd: 0.899 0.578 0.739

Computed properties:
The total energy comes out at -3.729 eV/atom. As for the space group: C2/m (12). Its size of the total moment is 0.00 μB/cell. The value obtained for the formation energy (no corrections) is -39.30 kJ/mol of atoms.


The highest size of the total moment belongs to which entry? PtC5


Which value of size of the total moment does entry 3 give? 0.00 μB/cell


Copy entry 6 word for word.
The following is a DFT calculation (PBE) of crystalline Cd5SbPd6 at its relaxed geometry.

a = 7.974 Å, b = 7.974 Å, c = 4.581 Å
α = 106.59°, β = 106.59°, γ = 118.32°
Fractional positions:
Cd: 0.000 0.000 0.000
Cd: 0.163 0.837 0.500
Cd: 0.320 0.680 0.000
Cd: 0.680 0.320 0.000
Cd: 0.837 0.163 0.500
Sb: 0.500 0.500 0.500
Pd: 0.101 0.422 0.261
Pd: 0.270 0.270 0.771
Pd: 0.422 0.101 0.261
Pd: 0.578 0.899 0.739
Pd: 0.730 0.730 0.229
Pd: 0.899 0.578 0.739

Computed properties:
The total energy comes out at -3.729 eV/atom. As for the space group: C2/m (12). Its size of the total moment is 0.00 μB/cell. The value obtained for the formation energy (no corrections) is -39.30 kJ/mol of atoms.